Nd3Ho2Tm6 | PBE-GGA | relaxed

Structure (CIF):
```
data_Nd3Ho2Tm6
_chemical_formula_sum 'Nd6 Ho4 Tm12'
_space_group_name_H-M_alt 'C 1 2/m 1'
_space_group_IT_number 12
_cell_length_a 6.130
_cell_length_b 10.639
_cell_length_c 11.487
_cell_angle_alpha 90.00
_cell_angle_beta 100.39
_cell_angle_gamma 90.00
loop_
_space_group_symop_operation_xyz
'x,y,z'
'-x,-y,-z'
'-x,y,-z'
'x,-y,z'
'x+1/2,y+1/2,z'
'-x+1/2,-y+1/2,-z'
'-x+1/2,y+1/2,-z'
'x+1/2,-y+1/2,z'
loop_
_atom_site_label
_atom_site_fract_x
_atom_site_fract_y
_atom_site_fract_z
Nd1 0.000 0.000 0.000
Nd2 0.000 0.336 0.000
Ho1 0.000 0.166 0.500
Tm1 0.248 0.334 0.745
Tm2 0.249 0.000 0.746
```

Results
VASP energy: -48.0 eV per formula unit
ΔE_f: 0.21 eV per atom
Crystal system: monoclinic
DOS(E_F): 34.84 states/eV/cell